First-principles (PBE) data for crystalline RbMnHg2Br8 at its relaxed geometry, as listed in Alexandria.

Lattice parameters (Å, degrees): 6.894 7.611 9.597 112.81 96.69 95.20
Space group P-1 (No. 2)
Inequivalent atoms, fractional coordinates:
Rb (0.000, 0.000, 0.000) [1 per cell]
Mn (0.000, 0.000, 0.500) [1 per cell]
Hg (0.488, 0.701, 0.207) [2 per cell]
Br (0.114, 0.746, 0.226) [2 per cell]
Br (0.199, 0.872, 0.650) [2 per cell]
Br (0.278, 0.263, 0.540) [2 per cell]
Br (0.466, 0.282, 0.060) [2 per cell]

Formation energy without anion corrections = -0.7266 eV per atom
Total moment = 4.000 μB/f.u.
DFT total energy = -32.8 eV for the cell shown


First-principles (PBE) data for crystalline ZnReSi2 at its relaxed geometry, as listed in Alexandria.

Lattice parameters (Å, degrees): 3.180 4.705 8.099 90.00 90.00 90.00
Space group Cmmm (No. 65)
Inequivalent atoms, fractional coordinates:
Zn (0.000, 0.000, 0.000) [2 per cell]
Re (0.000, 0.000, 0.500) [2 per cell]
Si (0.000, 0.500, 0.266) [4 per cell]

Formation energy without anion corrections = 0.3173 eV per atom
Total moment = 0.000 μB/f.u.
DFT total energy = -46.6 eV for the cell shown


First-principles (PBE) data for crystalline Tb12Nd2Y5 at its relaxed geometry, as listed in Alexandria.

Lattice parameters (Å, degrees): 15.911 9.216 8.597 90.00 91.24 90.00
Space group C2/m (No. 12)
Inequivalent atoms, fractional coordinates:
Tb (0.058, 0.000, 0.334) [4 per cell]
Tb (0.092, 0.500, 0.884) [4 per cell]
Tb (0.126, 0.192, 0.657) [8 per cell]
Tb (0.155, 0.319, 0.244) [8 per cell]
Nd (0.000, 0.182, 0.000) [4 per cell]
Y (0.000, 0.500, 0.500) [2 per cell]
Y (0.199, 0.000, 0.011) [4 per cell]
Y (0.232, 0.500, 0.574) [4 per cell]

Formation energy from the elements = 0.13 eV per atom
E above lowest polymorph = 0.110 eV/atom
Total moment = 0.000 μB/f.u.
DFT total energy = -190.0 eV for the cell shown


First-principles (PBE) data for crystalline Sm6Pt2O at its relaxed geometry, as listed in Alexandria.

Lattice parameters (Å, degrees): 6.554 7.185 11.697 90.00 122.61 90.00
Space group P2_1/c (No. 14)
Inequivalent atoms, fractional coordinates:
Sm (0.115, 0.029, 0.243) [4 per cell]
Sm (0.233, 0.686, 0.061) [4 per cell]
Sm (0.374, 0.177, 0.059) [4 per cell]
Pt (0.310, 0.107, 0.754) [4 per cell]
O (0.000, 0.000, 0.000) [2 per cell]

Formation energy without anion corrections = -1.1925 eV per atom
Total moment = 0.000 μB/f.u.
DFT total energy = -112.2 eV for the cell shown


First-principles (PBE) data for crystalline Tl2ZnAu at its relaxed geometry, as listed in Alexandria.

Lattice parameters (Å, degrees): 10.313 3.505 5.784 90.00 111.35 90.00
Space group Cm (No. 8)
Inequivalent atoms, fractional coordinates:
Tl (0.000, 0.000, 0.000) [2 per cell]
Tl (0.205, 0.000, 0.656) [2 per cell]
Zn (0.258, 0.500, 0.202) [2 per cell]
Au (0.447, 0.000, 0.451) [2 per cell]

Formation energy from the elements = 0.05 eV per atom
E above lowest polymorph = 0.065 eV/atom
Total moment = 0.000 μB/f.u.
DFT total energy = -18.1 eV for the cell shown


First-principles (PBE) data for crystalline PrSm4Ho2Er at its relaxed geometry, as listed in Alexandria.

Lattice parameters (Å, degrees): 6.218 3.605 11.918 90.00 100.11 90.00
Space group P2/m (No. 10)
Inequivalent atoms, fractional coordinates:
Pr (0.000, 0.000, 0.000) [1 per cell]
Sm (0.250, 0.000, 0.748) [2 per cell]
Sm (0.251, 0.500, 0.254) [2 per cell]
Ho (0.500, 0.000, 0.500) [1 per cell]
Ho (0.500, 0.500, 0.000) [1 per cell]
Er (0.000, 0.500, 0.500) [1 per cell]

Formation energy from the elements = 0.02 eV per atom
Total moment = 0.000 μB/f.u.
DFT total energy = -37.2 eV for the cell shown


What is the formula in the sixth record?
PrSm4Ho2Er